# 1
Material: RhWBr2
Method: DFT, PBE
State: relaxed

The structure in POSCAR format:
```
RhWBr2
1.0
3.391 -1.618 0.000
3.391 1.618 0.000
-2.452 0.000 8.706
Rh W Br
1 1 2
Cartesian
0.000 0.000 0.000
4.926 0.000 1.413
-0.416 0.000 6.936
1.613 0.000 3.403
```

The magnetic moment comes out at 0.0 μB per cell. The calculation puts the total energy at -5.82 eV per atom. The calculation puts the formation energy from raw total energies at 0.0878 eV per atom. As for the energy above the most stable polymorph in this dataset: 15.7 meV per atom. For the density of states at the Fermi level, the calculation gives 0.3427 states/eV/atom. Its crystal system is monoclinic.

***

# 2
Material: Cs3LiAu2I6
Method: DFT, PBE
State: relaxed

The structure in POSCAR format:
```
Cs3LiAu2I6
1.0
8.744 0.000 0.000
-4.372 7.573 0.000
0.000 0.000 10.073
Cs Li Au I
3 1 2 6
Cartesian
0.000 0.000 0.000
0.000 5.049 6.598
4.372 2.524 3.475
0.000 0.000 5.036
0.000 5.049 3.031
4.372 2.524 7.041
0.000 2.332 3.057
-2.353 6.407 3.057
2.019 1.166 7.016
2.353 6.407 3.057
6.725 1.166 7.016
4.372 5.241 7.016
```

The magnetic moment comes out at 0.0 μB per cell. The calculation puts the total energy at -2.61 eV per atom. The calculation puts the formation energy from raw total energies at -0.9196 eV per atom. For the density of states at the Fermi level, the calculation gives 0.0000 states/eV/atom. Its crystal system is trigonal.

***

# 3
Material: Pm2HoErSe4
Method: DFT, PBE
State: relaxed

The structure in POSCAR format:
```
Pm2HoErSe4
1.0
7.065 0.000 0.000
0.000 4.055 0.000
-2.335 0.000 6.915
Pm Ho Er Se
2 1 1 4
Cartesian
0.000 0.000 0.000
3.532 2.027 0.000
-1.167 2.027 3.458
2.365 0.000 3.458
0.019 0.000 5.087
1.190 2.027 1.832
3.540 2.027 5.083
4.710 0.000 1.828
```

The magnetic moment comes out at 0.0 μB per cell. The calculation puts the total energy at -5.85 eV per atom. The calculation puts the formation energy from raw total energies at -1.7762 eV per atom. For the density of states at the Fermi level, the calculation gives 0.4975 states/eV/atom. Its crystal system is monoclinic.

***

# 4
Material: CsMgI2N
Method: DFT, PBE
State: relaxed

The structure in POSCAR format:
```
CsMgI2N
1.0
7.242 0.000 0.000
0.000 7.242 0.000
0.000 0.000 6.096
Cs Mg I N
1 1 2 1
Cartesian
0.000 0.000 0.000
3.621 3.621 3.048
0.000 3.621 0.000
3.621 0.000 0.000
0.000 0.000 3.048
```

The magnetic moment comes out at 3.9 μB per cell. The calculation puts the total energy at -2.01 eV per atom. The calculation puts the formation energy from raw total energies at 0.7694 eV per atom. As for the energy above the most stable polymorph in this dataset: 1153.0 meV per atom. For the density of states at the Fermi level, the calculation gives 1.1512 states/eV/atom. Its crystal system is tetragonal.